No. 1
This record from the Alexandria database describes a geometry-optimized HfZrPd4 structure. The functional is PBE-GGA.

## Properties
The calculation puts the volume at 207.1 Å³ per cell. For the calculated total energy, the calculation gives -7.15 eV/atom. The value obtained for the magnetization is 0.0 μB per formula unit. The energy of formation from the pure elements comes out at -0.608 eV per atom. The value obtained for the energy above the most stable polymorph in this dataset is 0.010 eV/atom.

Unit cell a=9.4417 b=4.6086 c=5.8540 alpha=90.00 beta=125.59 gamma=90.00
Space group C2/m (No. 12)
Asymmetric unit:
Hf  0.0000  0.0000  0.0000 (multiplicity 2)
Zr  0.0000  0.0000  0.5000 (multiplicity 2)
Pd  0.1630  0.5000  0.0051 (multiplicity 4)
Pd  0.1703  0.5000  0.5143 (multiplicity 4)



No. 2
This record from the Alexandria database describes a geometry-optimized ZrSi4Mo structure. The functional is PBE-GGA.

## Properties
The calculation puts the volume at 345.2 Å³ per cell. The value obtained for the raw formation energy is 0.07 eV/atom. For the calculated total energy, the calculation gives -6.78 eV/atom. The value obtained for the magnetization is 0.0 μB per formula unit.

Unit cell a=7.0149 b=7.0149 c=7.0149 alpha=90.00 beta=90.00 gamma=90.00
Space group F-43m (No. 216)
Asymmetric unit:
Zr  0.0000  0.0000  0.0000 (multiplicity 4)
Si  0.1247  0.1247  0.6247 (multiplicity 16)
Mo  0.2500  0.2500  0.2500 (multiplicity 4)



No. 3
This record from the Alexandria database describes a geometry-optimized Y3ScGe2C structure. The functional is PBE-GGA.

## Properties
The calculation puts the volume at 315.1 Å³ per cell. For the calculated total energy, the calculation gives -7.07 eV/atom. The value obtained for the magnetization is 0.0 μB per formula unit. The energy of formation from the pure elements comes out at -0.756 eV per atom.

Unit cell a=4.4470 b=4.6561 c=15.2181 alpha=90.00 beta=90.00 gamma=90.00
Space group Immm (No. 71)
Asymmetric unit:
Y  0.0000  0.0000  0.0000 (multiplicity 2)
Y  0.0000  0.5000  0.1665 (multiplicity 4)
Sc  0.0000  0.0000  0.5000 (multiplicity 2)
Ge  0.0000  0.5000  0.3635 (multiplicity 4)
C  0.0000  0.5000  0.0000 (multiplicity 2)



No. 4
This record from the Alexandria database describes a geometry-optimized Ac2La4Er3 structure. The functional is PBE-GGA.

## Properties
The calculation puts the volume at 1336.6 Å³ per cell. For the calculated total energy, the calculation gives -4.48 eV/atom. The value obtained for the magnetization is 0.0 μB per formula unit. The energy of formation from the pure elements comes out at 0.139 eV per atom.

Unit cell a=6.4768 b=12.4578 c=16.5649 alpha=90.00 beta=90.00 gamma=90.00
Space group Fmmm (No. 69)
Asymmetric unit:
Ac  0.0000  0.0000  0.1151 (multiplicity 8)
La  0.0000  0.1475  0.3137 (multiplicity 16)
Er  0.0000  0.0000  0.5000 (multiplicity 4)
Er  0.2500  0.2500  0.0000 (multiplicity 8)



No. 5
This record from the Alexandria database describes a geometry-optimized Ba2Sn3Hg structure. The functional is PBE-GGA.

## Properties
The calculation puts the volume at 404.2 Å³ per cell. For the calculated total energy, the calculation gives -3.24 eV/atom. The value obtained for the magnetization is 0.0 μB per formula unit. The energy of formation from the pure elements comes out at -0.543 eV per atom. The value obtained for the energy above the most stable polymorph in this dataset is 0.000 eV/atom.

Unit cell a=12.7739 b=4.9816 c=8.1610 alpha=90.00 beta=128.90 gamma=90.00
Space group Cm (No. 8)
Asymmetric unit:
Ba  0.0000  0.0000  0.0000 (multiplicity 2)
Ba  0.1186  0.0000  0.6076 (multiplicity 2)
Sn  0.2126  0.5000  0.9968 (multiplicity 2)
Sn  0.3877  0.0000  0.5842 (multiplicity 2)
Sn  0.3887  0.0000  0.2183 (multiplicity 2)
Hg  0.2209  0.5000  0.3870 (multiplicity 2)



No. 6
This record from the Alexandria database describes a geometry-optimized CsBS2 structure. The functional is PBE-GGA.

## Properties
The calculation puts the volume at 537.0 Å³ per cell. The value obtained for the raw formation energy is -0.83 eV/atom. For the calculated total energy, the calculation gives -4.77 eV/atom. The value obtained for the magnetization is 0.0 μB per formula unit. The value obtained for the energy above the most stable polymorph in this dataset is 0.060 eV/atom.

Unit cell a=5.7937 b=5.7937 c=18.4717 alpha=90.00 beta=90.00 gamma=120.00
Space group R-3m (No. 166, hexagonal axes)
Asymmetric unit:
Cs  0.0000  0.0000  0.0000 (multiplicity 3)
B  0.0000  0.0000  0.5000 (multiplicity 3)
S  0.0000  0.0000  0.4092 (multiplicity 6)